Computed, not measured: a relaxed structure of Fe2PdO at the PBE+U level of DFT.

Unit cell a=5.984 b=5.984 c=5.467 alpha=56.82 beta=56.82 gamma=90.00
Last column: magnetic moment on the atom in μB.
Element x y z (fractional)
O1 0.500 0.500 0.000  0.10
O2 0.250 0.750 0.500  0.10
Fe1 0.541 0.125 0.250  3.69
Fe2 0.209 0.625 0.250  3.69
Fe3 0.375 0.459 0.750  3.71
Fe4 0.875 0.791 0.750  3.71
Pd1 0.000 0.000 0.000  0.15
Pd2 0.750 0.250 0.500  0.15

- VASP energy: -5.704 eV/atom